(1)
Below is a relaxed Al2ZnAg2 crystal, with properties calculated at the PBE level.

Structure (extended XYZ):
```
10
Lattice="5.0538 -2.4446 0.0000 5.0538 2.4446 0.0000 -3.1727 0.0000 6.7123" Properties=species:S:1:pos:R:3 pbc="T T T"
Al 2.2617 1.6530 3.6936
Al 3.0869 1.6530 6.3749
Al 3.8480 -1.6530 0.3374
Al 4.6733 -1.6530 3.0187
Zn 4.2606 0.8558 1.6781
Zn 2.6743 -0.8558 5.0342
Ag 0.4165 0.7990 5.7440
Ag 2.0029 -0.7990 2.3879
Ag 4.9320 0.7990 4.3244
Ag 6.5184 -0.7990 0.9683
```

Properties
ΔH_f (0 K) (meV/atom): -18.9
Crystal system: monoclinic
Space group: C2/c
DFT total energy (eV/atom): -2.9113
Polymorph energy (0 for the lowest one) (meV/atom): 0

(2)
Below is a relaxed Tb2Th2Sc crystal, with properties calculated at the PBE level.

Structure (extended XYZ):
```
10
Lattice="0.0000 6.3320 11.0943 2.3700 0.0000 11.0943 2.3700 6.3320 0.0000" Properties=species:S:1:pos:R:3 pbc="T T T"
Tb 1.7775 0.5701 8.3207
Tb 2.9626 3.7361 13.8678
Tb 1.7775 8.9278 8.3207
Tb 2.9626 12.0938 13.8678
Th 2.3700 3.1660 5.5471
Th 1.1850 6.3320 5.5471
Th 1.1850 3.1660 11.0943
Th 2.3700 6.3320 11.0943
Sc 1.7775 4.7490 8.3207
Sc 2.9626 7.9150 13.8678
```

Properties
ΔH_f (0 K) (meV/atom): 501.4
Crystal system: orthorhombic
Space group: Fddd
DFT total energy (eV/atom): -5.5849
Polymorph energy (0 for the lowest one) (meV/atom): 455

(3)
Below is a relaxed LiScCd11 crystal, with properties calculated at the PBE level.

Structure (extended XYZ):
```
13
Lattice="2.9194 -6.9793 0.0000 2.9194 6.9793 0.0000 -2.8959 0.0000 6.9500" Properties=species:S:1:pos:R:3 pbc="T T T"
Li 0.0000 0.0000 0.0000
Sc -1.4479 0.0000 3.4750
Cd 0.0118 3.4896 3.4750
Cd 1.5118 4.6146 1.0320
Cd 1.3747 1.4450 1.9754
Cd 1.4313 4.6146 5.9180
Cd 1.3747 -1.4450 1.9754
Cd 0.0118 -3.4896 3.4750
Cd 2.9194 0.0000 0.0000
Cd 1.5684 1.4450 4.9746
Cd 1.5118 -4.6146 1.0320
Cd 1.5684 -1.4450 4.9746
Cd 1.4313 -4.6146 5.9180
```

Properties
ΔH_f (0 K) (meV/atom): -64.8
Crystal system: monoclinic
Space group: C2/m
DFT total energy (eV/atom): -1.4734

(4)
Below is a relaxed ZrUTaIr crystal, with properties calculated at the PBE level.

Structure (extended XYZ):
```
16
Lattice="6.6908 0.0000 0.0000 0.0000 6.6908 0.0000 0.0000 0.0000 6.6908" Properties=species:S:1:pos:R:3 pbc="T T T"
Zr 0.0000 0.0000 0.0000
Zr 0.0000 3.3454 3.3454
Zr 3.3454 0.0000 3.3454
Zr 3.3454 3.3454 0.0000
U 1.6727 1.6727 1.6727
U 1.6727 5.0181 5.0181
U 5.0181 1.6727 5.0181
U 5.0181 5.0181 1.6727
Ta 0.0000 0.0000 3.3454
Ta 0.0000 3.3454 0.0000
Ta 3.3454 0.0000 0.0000
Ta 3.3454 3.3454 3.3454
Ir 1.6727 1.6727 5.0181
Ir 1.6727 5.0181 1.6727
Ir 5.0181 1.6727 1.6727
Ir 5.0181 5.0181 5.0181
```

Properties
ΔH_f (0 K) (meV/atom): 14.7
Crystal system: cubic
Space group: F-43m
DFT total energy (eV/atom): -10.1228